No. 1
The following is a DFT calculation (PBE-GGA) of a geometry-optimized AlZnReO6 structure.

Unit cell a=4.969 b=4.969 c=9.056 alpha=90.00 beta=90.00 gamma=120.00
Element x y z (fractional)
Al 0.667 0.333 0.250
Al 0.333 0.667 0.750
Zn 0.000 0.000 0.000
Zn 0.000 0.000 0.500
Re 0.333 0.667 0.250
Re 0.667 0.333 0.750
O 0.641 0.643 0.136
O 0.001 0.359 0.136
O 0.359 0.001 0.636
O 0.999 0.641 0.864
O 0.357 0.359 0.364
O 0.001 0.643 0.364
O 0.643 0.001 0.864
O 0.641 0.999 0.364
O 0.999 0.357 0.636
O 0.357 0.999 0.136
O 0.643 0.641 0.636
O 0.359 0.357 0.864

E_tot   -127.2 eV per cell
ΔE_f (raw)   -1.82 eV per atom
Crystal system   trigonal
Space group   P-31c (163)
Magnetic moment   0.000 μB per cell



No. 2
The following is a DFT calculation (PBE-GGA) of a geometry-optimized Al3RhO structure.

Unit cell a=3.986 b=3.986 c=3.986 alpha=90.00 beta=90.00 gamma=90.00
Element x y z (fractional)
Rh 0.500 0.500 0.500
Al 0.000 0.500 0.000
Al 0.000 0.000 0.500
Al 0.500 0.000 0.000
O 0.000 0.000 0.000

E_tot   -27.6 eV per cell
ΔE_f (raw)   -0.81 eV per atom
Crystal system   cubic
Space group   Pm-3m (221)
Magnetic moment   0.000 μB per cell